1.
First-principles (PBE with a Hubbard U) data for a relaxed structure of MgMoF6, as listed in Alexandria.

Cell and atoms, written as POSCAR:
```
MgMoF6
1.0
-2.193 -4.202 1.942
5.058 0.682 0.433
-1.335 4.573 8.390
F Mo Mg
12 2 2
Direct
0.710 0.042 0.876
0.290 0.332 0.376
0.332 0.290 0.876
0.710 0.668 0.624
0.042 0.710 0.376
0.958 0.290 0.624
0.042 0.332 0.124
0.290 0.958 0.124
0.958 0.668 0.876
0.668 0.958 0.376
0.332 0.042 0.624
0.668 0.710 0.124
0.000 0.000 0.500
0.000 0.000 0.000
0.333 0.667 0.250
0.667 0.333 0.750
```

Calculated total energy: -5.40 eV/atom
ρ: 3.5 Mg/m³
Crystal system: trigonal



2.
First-principles (PBE with a Hubbard U) data for a relaxed structure of MgMo2F, as listed in Alexandria.

Cell and atoms, written as POSCAR:
```
MgMo2F
1.0
0.000 3.159 3.159
3.159 0.000 3.159
3.159 3.159 0.000
Mo Mg F
2 1 1
Direct
0.250 0.250 0.250
0.750 0.750 0.750
0.500 0.500 0.500
0.000 0.000 0.000
```

ΔE to the lowest computed polymorph: 0.727 eV/atom
Calculated total energy: -2.96 eV/atom
ρ: 6.2 Mg/m³
Crystal system: cubic